This record from the Alexandria database describes crystalline V2Si2O7 at its relaxed geometry. The functional is PBE with a Hubbard U.

The structure in POSCAR format:
```
V2Si2O7
1.0
4.682 0.000 0.000
-0.710 5.164 0.000
-0.599 -1.601 5.115
V Si O
2 2 7
direct
0.008 0.179 0.309 V
0.992 0.821 0.691 V
0.405 0.728 0.229 Si
0.595 0.272 0.771 Si
0.210 0.905 0.086 O
0.211 0.570 0.396 O
0.275 0.098 0.608 O
0.500 0.500 0.000 O
0.725 0.902 0.392 O
0.789 0.430 0.604 O
0.790 0.095 0.914 O
```

Total magnetic moment   4.000 μB/f.u.
Calculated total energy   -7.929 eV/atom
E above lowest polymorph   0.000 eV per atom
Space-group type   P-1 (2)